(1)
This record from Alexandria describes Ce3H after structural relaxation. The functional is PBE-GGA.

Cell: 3.1857 5.5014 5.6001 Å, 119.42 106.52 90.00°
Sites, in units of the cell vectors:
Ce 0.6757 0.0450 0.3515
H 0.0000 0.0444 0.0000
Ce 0.5000 0.3838 0.0000
Ce 0.3243 0.6935 0.6485

Results
The energy relative to the lowest polymorph listed for this composition is 111.0 meV per atom. The calculation puts the calculated density at 8.66 g cm⁻³.


(2)
This record from Alexandria describes AcNd5HoTm2 after structural relaxation. The functional is PBE-GGA.

Cell: 5.8127 9.2344 12.2316 Å, 90.00 90.00 108.34°
Sites, in units of the cell vectors:
Ho 0.7473 0.4947 0.4238
Tm 0.0622 0.1244 0.7778
Ac 0.3844 0.7687 0.4230
Nd 0.5771 0.1541 0.2676
Nd 0.2310 0.4619 0.6290
Ac 0.6156 0.2313 0.9230
Nd 0.9395 0.8790 0.5710
Nd 0.5801 0.1601 0.5883
Nd 0.4199 0.8399 0.0883
Tm 0.9378 0.8756 0.2778
Nd 0.7690 0.5381 0.1290
Ho 0.2527 0.5053 0.9238
Nd 0.0605 0.1210 0.0710
Nd 0.4229 0.8459 0.7676
Nd 0.2316 0.4632 0.2198
Tm 0.1118 0.2235 0.4237
Nd 0.7684 0.5368 0.7198
Tm 0.8882 0.7765 0.9237

Results
The energy relative to the elements is 82 meV per atom. The calculation puts the calculated density at 7.73 g cm⁻³.


(3)
This record from Alexandria describes ScRhPb3 after structural relaxation. The functional is PBE-GGA.

Cell: 5.4773 5.4773 5.4773 Å, 90.00 90.00 90.00°
Sites, in units of the cell vectors:
Sc 0.0000 0.0000 0.0000
Pb 0.0000 0.5000 0.0000
Pb 0.5000 0.0000 0.0000
Pb 0.0000 0.0000 0.5000
Rh 0.5000 0.5000 0.5000

Results
The energy relative to the elements is 918 meV per atom. The calculation puts the calculated density at 7.78 g cm⁻³.


(4)
This record from Alexandria describes Na5B7C3 after structural relaxation. The functional is PBE-GGA.

Cell: 7.4475 7.4468 10.2835 Å, 120.67 120.68 40.58°
Sites, in units of the cell vectors:
B 0.4518 0.7544 0.2507
Na 0.7990 0.8004 0.4994
B 0.0462 0.3486 0.2502
C 0.0404 0.3626 0.7495
B 0.2538 0.5529 0.7500
Na 0.2000 0.2000 0.0000
B 0.6196 0.9792 0.2502
C 0.7628 0.4409 0.2503
B 0.1330 0.8673 0.7508
C 0.8390 0.1614 0.7505
Na 0.9998 0.0012 0.0010
B 0.4471 0.7463 0.7500
Na 0.6010 0.5996 0.5006
Na 0.2000 0.2000 0.5000
Na 0.9969 0.0035 0.5006
B 0.3538 0.0514 0.7498
Na 0.7970 0.8022 0.9986
C 0.3596 0.0374 0.2505
B 0.1462 0.8471 0.2500
C 0.5610 0.2386 0.2495
B 0.9529 0.6537 0.2500
B 0.5794 0.2193 0.7501
B 0.9482 0.6456 0.7493
B 0.8206 0.1807 0.2499
B 0.2670 0.5327 0.2492
B 0.7804 0.4208 0.7498
Na 0.4031 0.3965 0.4994
C 0.6372 0.9591 0.7497
Na 0.6030 0.5978 0.0014
Na 0.4002 0.3988 0.9990

Results
The energy relative to the lowest polymorph listed for this composition is 35.4 meV per atom. The energy relative to the elements is 148 meV per atom. The calculation puts the calculated density at 2.42 g cm⁻³.


(5)
This record from Alexandria describes CoNiMo2Os after structural relaxation. The functional is PBE-GGA.

Cell: 4.6736 4.4601 4.6736 Å, 90.00 90.00 90.00°
Sites, in units of the cell vectors:
Os 0.0000 0.0000 0.0000
Ni 0.0000 0.5000 0.0000
Mo 0.5000 0.0000 0.0000
Mo 0.0000 0.0000 0.5000
Co 0.5000 0.5000 0.5000

Results
The energy relative to the elements is 1881 meV per atom. The calculation puts the calculated density at 8.52 g cm⁻³.


(6)
This record from Alexandria describes HfTcNF2 after structural relaxation. The functional is PBE-GGA.

Cell: 4.2017 4.2017 3.8428 Å, 90.00 90.00 90.00°
Sites, in units of the cell vectors:
Hf 0.5000 0.5000 0.5000
F 0.0000 0.5000 0.0000
Tc 0.0000 0.0000 0.0000
N 0.0000 0.0000 0.5000
F 0.5000 0.0000 0.0000

Results
Its formation energy from raw total energies is -0.34 eV per atom. The energy relative to the lowest polymorph listed for this composition is 641.4 meV per atom. The calculation puts the calculated density at 8.04 g cm⁻³.


(7)
This record from Alexandria describes Zn6InGa6 after structural relaxation. The functional is PBE-GGA.

Cell: 5.0784 7.2758 7.2758 Å, 87.24 69.57 69.57°
Sites, in units of the cell vectors:
Zn 0.5000 0.0000 0.5000
Ga 0.3507 0.6493 0.6493
Ga 0.3017 0.1983 0.1983
Ga 0.6983 0.8017 0.8017
Ga 0.6493 0.3507 0.3507
In 0.0000 0.0000 0.0000
Zn 0.0000 0.0000 0.5000
Zn 0.5000 0.5000 0.0000
Ga 0.0000 0.3558 0.6442
Zn 0.0000 0.5000 0.0000
Ga 0.0000 0.6442 0.3558
Zn 0.5000 0.7729 0.2271
Zn 0.5000 0.2271 0.7729

Results
The energy relative to the elements is 46 meV per atom. The calculation puts the calculated density at 6.53 g cm⁻³.


(8)
This record from Alexandria describes BaAu2Cl after structural relaxation. The functional is PBE-GGA.

Cell: 5.3201 5.3201 5.3201 Å, 120.06 120.06 89.90°
Sites, in units of the cell vectors:
Au 0.0000 0.0000 0.0000
Ba 0.5000 0.5000 0.0000
Cl 0.7500 0.2500 0.5000
Au 0.2500 0.7500 0.5000

Results
Its formation energy from raw total energies is -0.76 eV per atom. The energy relative to the lowest polymorph listed for this composition is 256.8 meV per atom. The calculation puts the calculated density at 8.85 g cm⁻³.


(9)
This record from Alexandria describes ZnCdCu4 after structural relaxation. The functional is PBE-GGA.

Cell: 4.9452 4.9452 4.9452 Å, 60.00 60.00 60.00°
Sites, in units of the cell vectors:
Cd 0.0000 0.0000 0.0000
Cu 0.6247 0.6247 0.6247
Zn 0.2500 0.2500 0.2500
Cu 0.1259 0.6247 0.6247
Cu 0.6247 0.6247 0.1259
Cu 0.6247 0.1259 0.6247

Results
The energy relative to the lowest polymorph listed for this composition is 9.9 meV per atom. The energy relative to the elements is 38 meV per atom. The calculation puts the calculated density at 8.39 g cm⁻³.


(10)
This record from Alexandria describes CoOsCl2 after structural relaxation. The functional is PBE-GGA.

Cell: 3.0722 3.0722 9.4543 Å, 90.00 90.00 123.61°
Sites, in units of the cell vectors:
Os 0.5000 0.5000 0.7261
Cl 0.0000 0.0000 0.9326
Cl 0.5000 0.5000 0.3293
Co 0.0000 0.0000 0.5120

Results
Its formation energy from raw total energies is 0.44 eV per atom. The energy relative to the lowest polymorph listed for this composition is 257.7 meV per atom. The calculation puts the calculated density at 7.15 g cm⁻³.


(11)
This record from Alexandria describes CdAsBr2O after structural relaxation. The functional is PBE-GGA.

Cell: 5.2555 5.2555 5.4888 Å, 90.00 90.00 90.00°
Sites, in units of the cell vectors:
Cd 0.0000 0.0000 0.0000
Br 0.5000 0.0000 0.0000
O 0.5000 0.5000 0.5000
Br 0.0000 0.5000 0.0000
As 0.0000 0.0000 0.5000

Results
Its formation energy from raw total energies is 0.94 eV per atom. The energy relative to the lowest polymorph listed for this composition is 833.2 meV per atom. The calculation puts the calculated density at 3.98 g cm⁻³.


(12)
This record from Alexandria describes Co2GePt2 after structural relaxation. The functional is PBE-GGA.

Cell: 6.0204 6.0204 3.8998 Å, 90.00 90.00 90.00°
Sites, in units of the cell vectors:
Pt 0.1594 0.6594 0.5000
Co 0.6345 0.1345 0.0000
Co 0.8655 0.6345 0.0000
Ge 0.0000 0.0000 0.0000
Pt 0.3406 0.1594 0.5000
Ge 0.5000 0.5000 0.0000
Co 0.1345 0.3655 0.0000
Pt 0.6594 0.8406 0.5000
Pt 0.8406 0.3406 0.5000
Co 0.3655 0.8655 0.0000

Results
The energy relative to the elements is -17 meV per atom. The calculation puts the calculated density at 13.64 g cm⁻³.


(13)
This record from Alexandria describes CsNaZrBr2 after structural relaxation. The functional is PBE-GGA.

Cell: 6.4943 6.2459 6.4943 Å, 90.00 90.00 90.00°
Sites, in units of the cell vectors:
Na 0.0000 0.5000 0.0000
Cs 0.0000 0.0000 0.0000
Br 0.5000 0.0000 0.0000
Zr 0.5000 0.5000 0.5000
Br 0.0000 0.0000 0.5000

Results
Its formation energy from raw total energies is 0.38 eV per atom. The calculation puts the calculated density at 2.57 g cm⁻³.


(14)
This record from Alexandria describes KVHgIr2 after structural relaxation. The functional is PBE-GGA.

Cell: 4.6019 5.4325 4.6019 Å, 90.00 90.00 90.00°
Sites, in units of the cell vectors:
Ir 0.0000 0.0000 0.5000
V 0.0000 0.0000 0.0000
K 0.5000 0.5000 0.5000
Hg 0.0000 0.5000 0.0000
Ir 0.5000 0.0000 0.0000

Results
The energy relative to the elements is 702 meV per atom. The calculation puts the calculated density at 9.74 g cm⁻³.


(15)
This record from Alexandria describes AsSeSBr2 after structural relaxation. The functional is PBE-GGA.

Cell: 4.7917 4.7917 5.6723 Å, 90.00 90.00 90.00°
Sites, in units of the cell vectors:
Br 0.0000 0.5000 0.0000
Se 0.5000 0.5000 0.5000
S 0.0000 0.0000 0.0000
As 0.0000 0.0000 0.5000
Br 0.5000 0.0000 0.0000

Results
Its formation energy from raw total energies is 0.69 eV per atom. The energy relative to the lowest polymorph listed for this composition is 104.6 meV per atom. The calculation puts the calculated density at 4.41 g cm⁻³.


(16)
This record from Alexandria describes Ac2Mg3AlHg4 after structural relaxation. The functional is PBE-GGA.

Cell: 4.7899 4.7899 11.3135 Å, 90.00 90.00 90.00°
Sites, in units of the cell vectors:
Ac 0.0000 0.5000 0.7468
Hg 0.5000 0.5000 0.0000
Mg 0.0000 0.0000 0.5000
Mg 0.5000 0.0000 0.8695
Mg 0.0000 0.5000 0.1305
Al 0.5000 0.5000 0.5000
Ac 0.5000 0.0000 0.2532
Hg 0.5000 0.0000 0.6289
Hg 0.0000 0.0000 0.0000
Hg 0.0000 0.5000 0.3711

Results
The energy relative to the elements is -342 meV per atom. The calculation puts the calculated density at 8.68 g cm⁻³.


(17)
This record from Alexandria describes CeNpB4 after structural relaxation. The functional is PBE-GGA.

Cell: 4.7005 4.7005 4.7005 Å, 60.00 60.00 60.00°
Sites, in units of the cell vectors:
B 0.5934 0.5934 0.2199
B 0.5934 0.2199 0.5934
Np 0.2500 0.2500 0.2500
B 0.5934 0.5934 0.5934
B 0.2199 0.5934 0.5934
Ce 0.0000 0.0000 0.0000

Results
The energy relative to the lowest polymorph listed for this composition is 526.1 meV per atom. The energy relative to the elements is 225 meV per atom. The calculation puts the calculated density at 9.50 g cm⁻³.


(18)
This record from Alexandria describes Li2Hf2ScPd5 after structural relaxation. The functional is PBE-GGA.

Cell: 3.5146 9.5111 9.5111 Å, 90.00 90.00 90.00°
Sites, in units of the cell vectors:
Hf 0.0000 0.3235 0.8235
Pd 0.5000 0.4279 0.2920
Pd 0.5000 0.5721 0.7080
Pd 0.5000 0.2920 0.5721
Hf 0.0000 0.8235 0.6765
Li 0.0000 0.8795 0.3795
Pd 0.5000 0.9279 0.2080
Hf 0.0000 0.1765 0.3235
Li 0.0000 0.3795 0.1205
Li 0.0000 0.6205 0.8795
Pd 0.5000 0.7080 0.4279
Pd 0.5000 0.0000 0.5000
Hf 0.0000 0.6765 0.1765
Sc 0.0000 0.0000 0.0000
Pd 0.5000 0.5000 0.0000
Pd 0.5000 0.0721 0.7920
Sc 0.0000 0.5000 0.5000
Pd 0.5000 0.2080 0.0721
Pd 0.5000 0.7920 0.9279
Li 0.0000 0.1205 0.6205

Results
The energy relative to the elements is -569 meV per atom. The calculation puts the calculated density at 9.90 g cm⁻³.


(19)
This record from Alexandria describes YH2Pt after structural relaxation. The functional is PBE-GGA.

Cell: 4.3126 3.7549 6.2980 Å, 107.41 90.00 90.00°
Sites, in units of the cell vectors:
Y 0.7500 0.3514 0.7017
H 0.2500 0.4378 0.8733
H 0.2500 0.2503 0.5009
Pt 0.7500 0.0693 0.1416
H 0.7500 0.5622 0.1267
Y 0.2500 0.6486 0.2983
Pt 0.2500 0.9307 0.8584
H 0.7500 0.7497 0.4991

Results
The energy relative to the lowest polymorph listed for this composition is 0.0 meV per atom. The calculation puts the calculated density at 9.76 g cm⁻³.


(20)
This record from Alexandria describes CrOsN3 after structural relaxation. The functional is PBE-GGA.

Cell: 3.6721 3.6721 3.6721 Å, 90.00 90.00 90.00°
Sites, in units of the cell vectors:
N 0.0000 0.5000 0.0000
Cr 0.0000 0.0000 0.0000
N 0.0000 0.0000 0.5000
N 0.5000 0.0000 0.0000
Os 0.5000 0.5000 0.5000

Results
Its formation energy from raw total energies is 1.42 eV per atom. The calculation puts the calculated density at 9.53 g cm⁻³.